Computed, not measured: an optimized crystal structure of RbMnF3 at the PBE with a Hubbard U level of DFT.

a b c (Å): 8.5894 7.9324 3.4466
angles (deg): 90.00 89.87 130.00
Each line ends with the local moment (μB).
Atoms (fractional coordinates):
Mn 0.8725 0.7134 0.6200  4.68
Mn 0.5127 0.6957 0.1206  4.68
Rb 0.4272 0.1409 0.6194  0.00
Rb 0.9578 0.2684 0.1187  0.00
F 0.7463 0.8740 0.6199  0.05
F 0.5102 0.9468 0.1196  0.03
F 0.0614 0.9024 0.1192  0.04
F 0.3240 0.5061 0.6211  0.04
F 0.8741 0.4616 0.6191  0.03
F 0.6392 0.5355 0.1200  0.05

DFT total energy in eV for the cell shown: -55.0
Theoretical density in Mg/m³: 3.64
D(E_F) in states/eV per cell: 0.00